No. 1
CdMoP: optimized geometry, PBE.

E_form: 404 meV per atom
Density: 7.5 Mg/m³
Space-group type: F-43m (216)

Cell: 4.2133 4.2133 4.2133 Å, 60.00 60.00 60.00°
Fractional positions:
Cd 0.0000 0.0000 0.0000
Mo 0.5000 0.5000 0.5000
P 0.7500 0.7500 0.7500

=====

No. 2
AgAsOs2: optimized geometry, PBE.

E_form: 640 meV per atom
Density: 14.1 Mg/m³
Space-group type: Cm (8)

Cell: 4.8946 4.8946 5.1027 Å, 102.88 102.88 33.86°
Fractional positions:
Ag 0.0000 0.0000 0.0000
As 0.2287 0.2287 0.7096
Os 0.4994 0.4994 0.4786
Os 0.7610 0.7610 0.3244

=====

No. 3
Ac2InPt5Rh2: optimized geometry, PBE.

E_form: -662 meV per atom
Density: 14.5 Mg/m³
Space-group type: P4/mbm (127)

Cell: 9.7923 9.7923 4.1668 Å, 90.00 90.00 90.00°
Fractional positions:
Ac 0.1735 0.3265 0.0000
Ac 0.3265 0.8265 0.0000
Ac 0.6735 0.1735 0.0000
Ac 0.8265 0.6735 0.0000
In 0.0000 0.0000 0.0000
In 0.5000 0.5000 0.0000
Pt 0.0000 0.5000 0.5000
Pt 0.0614 0.7968 0.5000
Pt 0.2032 0.0614 0.5000
Pt 0.2968 0.5614 0.5000
Pt 0.4386 0.2968 0.5000
Pt 0.5000 0.0000 0.5000
Pt 0.5614 0.7032 0.5000
Pt 0.7032 0.4386 0.5000
Pt 0.7968 0.9386 0.5000
Pt 0.9386 0.2032 0.5000
Rh 0.1257 0.6257 0.0000
Rh 0.3743 0.1257 0.0000
Rh 0.6257 0.8743 0.0000
Rh 0.8743 0.3743 0.0000

=====

No. 4
TiTePtN2: optimized geometry, PBE.

Density: 6.2 Mg/m³
Space-group type: P4/mmm (123)
Uncorrected formation energy: 1.083 eV per atom

Cell: 3.8019 3.8019 7.3441 Å, 90.00 90.00 90.00°
Fractional positions:
Ti 0.0000 0.0000 0.0000
Te 0.5000 0.5000 0.0000
Pt 0.5000 0.5000 0.5000
N 0.0000 0.5000 0.5000
N 0.5000 0.0000 0.5000

=====

No. 5
AcNpP2: optimized geometry, PBE.

E_form: -1096 meV per atom
Density: 8.4 Mg/m³
Space-group type: R-3m (166)

Cell: 7.3028 7.3028 7.3028 Å, 33.30 33.30 33.30°
Fractional positions:
Ac 0.0000 0.0000 0.0000
Np 0.5000 0.5000 0.5000
P 0.2386 0.2386 0.2386
P 0.7614 0.7614 0.7614

=====

No. 6
MgPaZn17: optimized geometry, PBE.

E_form: -62 meV per atom
Density: 7.4 Mg/m³
Space-group type: R3m (160)

Cell: 6.7962 6.7962 6.7962 Å, 82.55 82.55 82.55°
Fractional positions:
Mg 0.0000 0.0000 0.0000
Pa 0.7066 0.7066 0.7066
Zn 0.0158 0.0158 0.5256
Zn 0.0158 0.5256 0.0158
Zn 0.0699 0.3633 0.6744
Zn 0.0699 0.6744 0.3633
Zn 0.2062 0.7189 0.7189
Zn 0.2639 0.2639 0.2639
Zn 0.3633 0.0699 0.6744
Zn 0.3633 0.6744 0.0699
Zn 0.3778 0.3778 0.8649
Zn 0.3778 0.8649 0.3778
Zn 0.4671 0.4671 0.4671
Zn 0.5256 0.0158 0.0158
Zn 0.6744 0.0699 0.3633
Zn 0.6744 0.3633 0.0699
Zn 0.7189 0.2062 0.7189
Zn 0.7189 0.7189 0.2062
Zn 0.8649 0.3778 0.3778